# 1
NdTlF: relaxed, PBE.

Computed properties:
The total magnetic moment comes out at 0.00 μB/f.u. The value obtained for the theoretical density is 7.917 g cm⁻³. The calculated volume is 25.70 A^3/atom. The total energy comes out at -4.753 eV/atom. Its energy above the most stable polymorph in this dataset is 0.000 eV per formula unit.

abc: 4.0383 4.0383 5.4596
angles: 90.00 90.00 120.00
With the nearest neighbours (Å) after each atom.
Element x y z (fractional)
Nd 0.0000 0.0000 0.0000  3 F 2.33
Tl 0.6667 0.3333 0.5000  6 Nd 3.59, 6 F 3.59
F 0.3333 0.6667 0.0000  3 Nd 2.33

# 2
NdTlF4: relaxed, PBE.

Computed properties:
The total magnetic moment comes out at 0.00 μB/f.u. The value obtained for the theoretical density is 6.997 g cm⁻³. The calculated volume is 16.80 A^3/atom. The total energy comes out at -5.772 eV/atom.

abc: 6.3463 3.7878 16.7683
angles: 90.00 90.00 90.00
With the nearest neighbours (Å) after each atom.
Element x y z (fractional)
Nd 0.2468 0.2500 0.0561  9 F 2.33-2.51
Nd 0.2532 0.7500 0.5561  9 F 2.33-2.51
Nd 0.7468 0.2500 0.4439  9 F 2.33-2.51
Nd 0.7532 0.7500 0.9439  9 F 2.33-2.51
Tl 0.2123 0.7500 0.2988  7 F 2.72-3.01
Tl 0.2877 0.2500 0.7988  7 F 2.72-3.01
Tl 0.7123 0.7500 0.2012  7 F 2.72-3.01
Tl 0.7877 0.2500 0.7012  7 F 2.72-3.01
F 0.0039 0.7500 0.4459  3 Nd 2.43-2.50, 2 F 2.62
F 0.0907 0.7500 0.6808  1 Nd 2.33
F 0.1085 0.7500 0.1262  2 Nd 2.40, 1 F 2.67
F 0.1327 0.7500 0.9674  3 Nd 2.44-2.51, 1 F 2.67
F 0.3673 0.2500 0.4674  3 Nd 2.44-2.51, 1 F 2.67
F 0.3915 0.2500 0.6262  2 Nd 2.40, 1 F 2.67
F 0.4093 0.2500 0.1808  1 Nd 2.33
F 0.4961 0.2500 0.9459  3 Nd 2.43-2.50, 2 F 2.62
F 0.5039 0.7500 0.0541  3 Nd 2.43-2.50, 2 F 2.62
F 0.5907 0.7500 0.8192  1 Nd 2.33
F 0.6085 0.7500 0.3738  2 Nd 2.40, 1 F 2.67
F 0.6327 0.7500 0.5326  3 Nd 2.44-2.51, 1 F 2.67
F 0.8673 0.2500 0.0326  3 Nd 2.44-2.51, 1 F 2.67
F 0.8915 0.2500 0.8738  2 Nd 2.40, 1 F 2.67
F 0.9093 0.2500 0.3192  1 Nd 2.33
F 0.9961 0.2500 0.5541  3 Nd 2.43-2.50, 2 F 2.62

# 3
NdTm2F11: relaxed, PBE.

Computed properties:
The total magnetic moment comes out at 2.11 μB/f.u. The value obtained for the theoretical density is 4.749 g cm⁻³. The calculated volume is 17.26 A^3/atom. The total energy comes out at -5.913 eV/atom.

abc: 8.7101 8.7101 8.7101
angles: 123.21 108.21 98.04
With the nearest neighbours (Å) after each atom.
Element x y z (fractional)
Nd 0.2500 0.2500 0.0000  8 F 2.37-2.38
Nd 0.7500 0.7500 0.0000  8 F 2.37-2.38
Tm 0.1879 0.6549 0.8427  7 F 2.15-2.31
Tm 0.3121 0.1549 0.4670  7 F 2.15-2.31
Tm 0.6879 0.8451 0.5330  7 F 2.15-2.31
Tm 0.8121 0.3451 0.1573  7 F 2.15-2.31
F 0.0000 0.5000 0.5000  2 F 2.23, 2 Tm 2.31
F 0.0367 0.9672 0.2813  1 Tm 2.15, 1 Nd 2.37
F 0.0522 0.3452 0.1368  1 Tm 2.15, 1 Nd 2.38
F 0.1859 0.4672 0.9305  1 Tm 2.15, 1 Nd 2.37
F 0.1991 0.3888 0.5879  2 Tm 2.21-2.26, 1 F 2.23
F 0.2084 0.9154 0.8632  1 Tm 2.15, 1 Nd 2.38
F 0.2916 0.1548 0.7069  1 Tm 2.15, 1 Nd 2.38
F 0.3009 0.8888 0.1898  2 Tm 2.21-2.26, 1 F 2.23
F 0.3141 0.2446 0.2813  1 Tm 2.15, 1 Nd 2.37
F 0.4478 0.5846 0.2931  1 Tm 2.15, 1 Nd 2.38
F 0.4633 0.7446 0.9305  1 Tm 2.15, 1 Nd 2.37
F 0.5000 0.0000 0.5000  2 F 2.23, 2 Tm 2.31
F 0.5367 0.2554 0.0695  1 Tm 2.15, 1 Nd 2.37
F 0.5522 0.4154 0.7069  1 Tm 2.15, 1 Nd 2.38
F 0.6859 0.7554 0.7187  1 Tm 2.15, 1 Nd 2.37
F 0.6991 0.1112 0.8102  2 Tm 2.21-2.26, 1 F 2.23
F 0.7084 0.8452 0.2931  1 Tm 2.15, 1 Nd 2.38
F 0.7916 0.0846 0.1368  1 Tm 2.15, 1 Nd 2.38
F 0.8009 0.6112 0.4121  2 Tm 2.21-2.26, 1 F 2.23
F 0.8141 0.5328 0.0695  1 Tm 2.15, 1 Nd 2.37
F 0.9478 0.6548 0.8632  1 Tm 2.15, 1 Nd 2.38
F 0.9633 0.0328 0.7187  1 Tm 2.15, 1 Nd 2.37

# 4
Nd3TmF: relaxed, PBE.

Computed properties:
The total magnetic moment comes out at 0.00 μB/f.u. The value obtained for the theoretical density is 7.498 g cm⁻³. The calculated volume is 27.49 A^3/atom. The total energy comes out at -5.105 eV/atom.

abc: 5.1608 5.1608 5.1608
angles: 90.00 90.00 90.00
With the nearest neighbours (Å) after each atom.
Element x y z (fractional)
Nd 0.0000 0.0000 0.5000  2 F 2.58
Nd 0.0000 0.5000 0.0000  2 F 2.58
Nd 0.5000 0.0000 0.0000  2 F 2.58
Tm 0.5000 0.5000 0.5000  12 Nd 3.65
F 0.0000 0.0000 0.0000  6 Nd 2.58

# 5
Nd2TmF: relaxed, PBE.

Computed properties:
The total magnetic moment comes out at 0.00 μB/f.u. The value obtained for the theoretical density is 7.368 g cm⁻³. The calculated volume is 26.84 A^3/atom. The total energy comes out at -5.094 eV/atom.

abc: 8.9016 8.9016 8.9016
angles: 24.59 24.59 24.59
With the nearest neighbours (Å) after each atom.
Element x y z (fractional)
Nd 0.2236 0.2236 0.2236  3 F 2.64
Nd 0.7764 0.7764 0.7764  3 F 2.64
Tm 0.0000 0.0000 0.0000  6 Nd 3.59, 6 Tm 3.79
F 0.5000 0.5000 0.5000  6 Nd 2.64

# 6
NdU2F8: relaxed, PBE.

Computed properties:
The total magnetic moment comes out at 7.00 μB/f.u. The value obtained for the theoretical density is 8.389 g cm⁻³. The calculated volume is 13.90 A^3/atom. The total energy comes out at -7.191 eV/atom.

abc: 7.6040 7.6040 7.6040
angles: 148.55 137.90 53.48
With the nearest neighbours (Å) after each atom.
Element x y z (fractional)
Nd 0.0000 0.0000 0.0000  8 F 2.35-2.45
U 0.3075 0.3075 0.0000  10 F 2.54-2.73
U 0.6925 0.6925 0.0000  10 F 2.54-2.73
F 0.1216 0.8619 0.2597  1 Nd 2.35, 2 U 2.55, 2 F 2.58-2.63
F 0.1987 0.6987 0.5000  4 U 2.54-2.73, 6 F 2.58-2.63
F 0.2437 0.5000 0.7437  2 Nd 2.45, 1 F 2.66
F 0.3977 0.1381 0.2597  1 Nd 2.35, 2 U 2.55, 2 F 2.58-2.63
F 0.6023 0.8619 0.7403  1 Nd 2.35, 2 U 2.55, 2 F 2.58-2.63
F 0.7563 0.5000 0.2563  2 Nd 2.45, 1 F 2.66
F 0.8013 0.3013 0.5000  4 U 2.54-2.73, 6 F 2.58-2.63
F 0.8784 0.1381 0.7403  1 Nd 2.35, 2 U 2.55, 2 F 2.58-2.63

Asked for E_form (uncorrected) across the records above, the calculation gives -1.75; -3.34; -3.46; -0.98; -1.12; -3.34 eV per atom in order.